No. 1
First-principles (PBE-GGA) data for Na12Se2S5 after structural relaxation, as listed in Alexandria.

## Properties
- total DFT energy (no corrections) (eV/atom) = -3.2157
- raw formation energy (meV per atom) = -930

Cell lengths 15.709, 6.810, 9.598 Å; angles 90.00, 108.49, 90.00 degrees
Space group C2/m (No. 12)
Asymmetric unit:
Na 0.008 0.000 0.234
Na 0.070 0.500 0.786
Na 0.156 0.251 0.553
Na 0.188 0.232 0.112
Se 0.000 0.321 0.000
S 0.000 0.500 0.500
S 0.175 0.000 0.836
S 0.193 0.000 0.350

---

No. 2
First-principles (PBE-GGA) data for KBe4Al after structural relaxation, as listed in Alexandria.

## Properties
- total DFT energy (no corrections) (eV/atom) = -2.5730
- N(E_F) (states/eV/f.u.) = 3.98
- E_form (eV per formula unit) = 4.31

Cell lengths 6.898, 6.898, 6.898 Å; angles 90.00, 90.00, 90.00 degrees
Space group F-43m (No. 216)
Asymmetric unit:
K 0.000 0.000 0.000
Be 0.123 0.123 0.377
Al 0.250 0.250 0.750

---

No. 3
First-principles (PBE-GGA) data for TeSeBr4 after structural relaxation, as listed in Alexandria.

## Properties
- total DFT energy (no corrections) (eV/atom) = -1.3278
- N(E_F) (states/eV/f.u.) = 9.40
- raw formation energy (meV per atom) = 892

Cell lengths 8.825, 8.825, 8.825 Å; angles 90.00, 90.00, 90.00 degrees
Space group F-43m (No. 216)
Asymmetric unit:
Te 0.000 0.000 0.000
Se 0.250 0.250 0.250
Br 0.125 0.125 0.625

---

No. 4
First-principles (PBE-GGA) data for CePmGaRu after structural relaxation, as listed in Alexandria.

## Properties
- distance to the lowest polymorph of the same formula (kJ/mol of formula units) = 67
- total DFT energy (no corrections) (eV/atom) = -6.0611
- N(E_F) (states/eV/f.u.) = 5.23
- E_form (eV per formula unit) = -1.26

Cell lengths 7.128, 7.128, 7.128 Å; angles 90.00, 90.00, 90.00 degrees
Space group F-43m (No. 216)
Asymmetric unit:
Ce 0.000 0.000 0.000
Pm 0.000 0.000 0.500
Ga 0.250 0.250 0.750
Ru 0.250 0.250 0.250

---

No. 5
First-principles (PBE-GGA) data for ZrFe2AsPb after structural relaxation, as listed in Alexandria.

## Properties
- total DFT energy (no corrections) (eV/atom) = -5.4065
- N(E_F) (states/eV/f.u.) = 8.41
- E_form (eV per formula unit) = 6.80

Cell lengths 4.782, 4.782, 5.533 Å; angles 90.00, 90.00, 90.00 degrees
Space group P4/mmm (No. 123)
Asymmetric unit:
Zr 0.000 0.000 0.000
Fe 0.000 0.500 0.500
As 0.500 0.500 0.000
Pb 0.000 0.000 0.500

---

No. 6
First-principles (PBE-GGA) data for Ti3RhS after structural relaxation, as listed in Alexandria.

## Properties
- distance to the lowest polymorph of the same formula (kJ/mol of formula units) = 344
- total DFT energy (no corrections) (eV/atom) = -6.7109
- N(E_F) (states/eV/f.u.) = 4.97
- raw formation energy (meV per atom) = 322

Cell lengths 4.712, 4.712, 4.712 Å; angles 90.00, 90.00, 90.00 degrees
Space group Pm-3m (No. 221)
Asymmetric unit:
Ti 0.000 0.000 0.500
Rh 0.000 0.000 0.000
S 0.500 0.500 0.500

---

No. 7
First-principles (PBE-GGA) data for LiTh2IrPb after structural relaxation, as listed in Alexandria.

## Properties
- total DFT energy (no corrections) (eV/atom) = -6.3954
- N(E_F) (states/eV/f.u.) = 3.91
- E_form (eV per formula unit) = -2.65

Cell lengths 7.779, 4.323, 8.106 Å; angles 90.00, 108.91, 90.00 degrees
Space group P2_1/m (No. 11)
Asymmetric unit:
Li 0.149 0.250 0.059
Th 0.152 0.750 0.404
Th 0.480 0.250 0.777
Ir 0.391 0.250 0.387
Pb 0.175 0.750 0.836

---

No. 8
First-principles (PBE-GGA) data for ZrPaMoPt after structural relaxation, as listed in Alexandria.

## Properties
- total DFT energy (no corrections) (eV/atom) = -9.1235
- N(E_F) (states/eV/f.u.) = 3.70
- E_form (eV per formula unit) = -1.58

Cell lengths 6.835, 6.835, 6.835 Å; angles 90.00, 90.00, 90.00 degrees
Space group F-43m (No. 216)
Asymmetric unit:
Zr 0.000 0.000 0.000
Pa 0.000 0.000 0.500
Mo 0.250 0.250 0.750
Pt 0.250 0.250 0.250

---

No. 9
First-principles (PBE-GGA) data for Ce3Pr5Se8 after structural relaxation, as listed in Alexandria.

## Properties
- total DFT energy (no corrections) (eV/atom) = -6.1893
- N(E_F) (states/eV/f.u.) = 22.15
- raw formation energy (meV per atom) = -1841

Cell lengths 8.4762, 8.4762, 20.8355 Å; angles 90.00, 90.00, 120.00 degrees
Space group R-3m (No. 166, hexagonal axes)
Asymmetric unit:
Ce 0.0000 0.5000 0.0000
Pr 0.0000 0.0000 0.0000
Pr 0.0000 0.0000 0.5000
Pr 0.0000 0.5000 0.5000
Se 0.0000 0.0000 0.2517
Se 0.0025 0.5013 0.2512

---

No. 10
First-principles (PBE-GGA) data for Ho2PuNpAs4 after structural relaxation, as listed in Alexandria.

## Properties
- total DFT energy (no corrections) (eV/atom) = -8.0675
- N(E_F) (states/eV/f.u.) = 20.05
- E_form (eV per formula unit) = -9.51

Cell lengths 7.104, 4.112, 7.127 Å; angles 90.00, 109.49, 90.00 degrees
Space group P2/m (No. 10)
Asymmetric unit:
Ho 0.000 0.000 0.000
Ho 0.000 0.500 0.500
Pu 0.500 0.000 0.500
Np 0.500 0.500 0.000
As 0.251 0.000 0.752
As 0.251 0.500 0.249